[1]
RbAgGe3 after structural relaxation. Source: Alexandria, functional PBE.

Geometry as POSCAR:
```
RbAgGe3
1.0
5.219 0.000 0.000
0.000 5.219 0.000
0.000 0.000 5.219
Ag Ge Rb
1 3 1
Cartesian
0.000 0.000 0.000
0.000 2.610 0.000
2.610 0.000 0.000
0.000 0.000 2.610
2.610 2.610 2.610
```

Fermi-level density of states (states/eV per cell): 3.8



[2]
ZnIn3Pt after structural relaxation. Source: Alexandria, functional PBE.

Geometry as POSCAR:
```
ZnIn3Pt
1.0
5.206 0.000 0.000
0.000 5.206 0.000
0.000 0.000 5.206
Zn In Pt
1 3 1
Cartesian
2.603 2.603 2.603
2.603 0.000 0.000
0.000 2.603 0.000
0.000 0.000 2.603
0.000 0.000 0.000
```

Fermi-level density of states (states/eV per cell): 1.8



| no. | E above lowest polymorph (meV/atom) | E_form (eV per atom) | uncorrected energy (eV per atom) |
| --- | --- | --- | --- |
| 1 | 0 | 0.52 | -3.01 |
| 2 | 0 | -0.05 | -3.16 |